A plane-wave DFT calculation with GGA-PBE was carried out for a relaxed structure of Rb3LiS.

Cell and atoms, written as extended XYZ:
```
5
Lattice="6.509 0.000 0.000 0.000 6.509 0.000 0.000 0.000 6.509" Properties=species:S:1:pos:R:3 pbc="T T T"
Rb 0.000 0.000 3.254
Rb 0.000 3.254 0.000
Rb 3.254 0.000 0.000
Li 3.254 3.254 3.254
S 0.000 0.000 0.000
```

Output
E_tot: -2.22 eV/atom
E_form (uncorrected): -0.430 eV per atom
crystal system: cubic
ΔE to the lowest computed polymorph: 0.000 eV per atom



A plane-wave DFT calculation with GGA-PBE was carried out for a relaxed structure of ZrVN.

Cell and atoms, written as extended XYZ:
```
3
Lattice="3.100 0.000 0.000 -1.550 2.685 0.000 0.000 0.000 4.884" Properties=species:S:1:pos:R:3 pbc="T T T"
Zr 0.000 0.000 0.000
V 1.550 0.895 2.403
N 0.000 1.790 1.383
```

Output
E_tot: -9.57 eV/atom
E_form (uncorrected): -0.907 eV per atom
crystal system: trigonal
ΔE to the lowest computed polymorph: 0.000 eV per atom



A plane-wave DFT calculation with GGA-PBE was carried out for a relaxed structure of TeO.

Cell and atoms, written as extended XYZ:
```
2
Lattice="0.000 2.754 2.754 2.754 0.000 2.754 2.754 2.754 0.000" Properties=species:S:1:pos:R:3 pbc="T T T"
Te 0.000 0.000 0.000
O 1.377 1.377 1.377
```

Output
E_tot: -3.79 eV/atom
E_form (uncorrected): 0.257 eV per atom
crystal system: cubic
ΔE to the lowest computed polymorph: 0.800 eV per atom